Record 1
KCdGa3, optimized geometry, DFT PBE; polymorph energy (0 for the lowest one) = 3.67 eV per formula unit; magnetization = 0.00 μB per atom; ΔE_f = 1.010 eV/atom; total energy = -1.2083 eV/atom
1.0
5.807 0.000 0.000
0.000 5.807 0.000
0.000 0.000 5.807
K Cd Ga
1 1 3
direct
0.000 0.000 0.000
0.500 0.500 0.500
0.000 0.000 0.500
0.000 0.500 0.000
0.500 0.000 0.000

---

Record 2
SrZrCl2, optimized geometry, DFT PBE; polymorph energy (0 for the lowest one) = 0.57 eV per formula unit; energy relative to the elements, uncorrected = -982 meV per atom; magnetization = 0.00 μB per atom; total energy = -4.4630 eV/atom
1.0
3.386 0.000 0.000
0.000 6.680 0.000
0.000 0.000 9.391
Sr Zr Cl
2 2 4
direct
0.000 0.000 0.000
0.500 0.500 0.500
0.000 0.000 0.500
0.500 0.500 0.000
0.000 0.500 0.219
0.000 0.500 0.781
0.500 0.000 0.281
0.500 0.000 0.719

---

Record 3
Er12MgIn3, optimized geometry, DFT PBE; magnetization = 0.00 μB per atom; ΔE_f = -0.188 eV/atom; total energy = -4.2237 eV/atom
1.0
4.816 0.000 0.000
0.000 4.816 0.000
0.000 0.000 19.311
Er Mg In
12 1 3
direct
0.000 0.000 0.000
0.000 0.000 0.249
0.000 0.000 0.500
0.000 0.000 0.751
0.000 0.500 0.124
0.000 0.500 0.373
0.000 0.500 0.627
0.000 0.500 0.876
0.500 0.000 0.124
0.500 0.000 0.373
0.500 0.000 0.627
0.500 0.000 0.876
0.500 0.500 0.500
0.500 0.500 0.000
0.500 0.500 0.249
0.500 0.500 0.751

---

> Which value of total energy does entry 3 give?

-4.2237 eV/atom